# 1
Compound: Nd3Si2Ge2
Source: the Open Quantum Materials Database
Functional: PBE
Structure: relaxed

POSCAR file:
```
Nd3Si2Ge2
1.0
-2.023 2.211 9.085
2.023 -2.211 9.085
2.023 2.211 -9.085
Ge Nd Si
2 3 2
Direct
0.149 0.149 0.000 Ge
0.851 0.851 0.000 Ge
0.320 0.320 0.000 Nd
0.680 0.680 0.000 Nd
0.500 0.000 0.500 Nd
0.936 0.436 0.500 Si
0.064 0.564 0.500 Si
```

Summary:
- volume (Å³/cell) = 162.6
- electronic total energy (eV/atom) = -5.67
- total magnetization (μB/cell) = 0.00

=====

# 2
Compound: Zr2Tl2O5
Source: the Open Quantum Materials Database
Functional: PBE
Structure: relaxed

POSCAR file:
```
Zr2Tl2O5
1.0
8.965 0.000 0.000
0.000 4.073 0.000
0.000 0.000 4.073
O Tl Zr
5 2 2
Direct
0.226 0.500 0.000 O
0.774 0.500 0.000 O
0.226 0.000 0.500 O
0.774 0.000 0.500 O
0.500 0.500 0.500 O
0.000 0.000 0.000 Tl
0.500 0.000 0.000 Tl
0.273 0.500 0.500 Zr
0.727 0.500 0.500 Zr
```

Summary:
- volume (Å³/cell) = 148.7
- E above lowest polymorph (meV/atom) = 0
- electronic total energy (eV/atom) = -7.43
- total magnetization (μB/cell) = 0.01

=====

# 3
Compound: BaCdBi2
Source: the Open Quantum Materials Database
Functional: PBE
Structure: relaxed

POSCAR file:
```
BaCdBi2
1.0
12.506 -1.945 -1.479
10.911 -5.036 4.240
-12.347 0.678 -3.079
Ba Bi Cd
2 4 2
Direct
0.385 0.385 0.000 Ba
0.615 0.615 0.000 Ba
0.170 0.170 0.000 Bi
0.830 0.830 0.000 Bi
0.500 0.000 0.500 Bi
0.000 0.500 0.500 Bi
0.750 0.250 0.500 Cd
0.250 0.750 0.500 Cd
```

Summary:
- volume (Å³/cell) = 275.5
- electronic total energy (eV/atom) = -3.26

=====

- What is the electronic total energy in the first record?
  -5.67 eV/atom